# PBE Tl4Mo, relaxed
data_Tl4Mo
_chemical_formula_sum 'Tl8 Mo2'
_cell_length_a 8.9432
_cell_length_b 8.9432
_cell_length_c 3.3202
_cell_angle_alpha 90.00
_cell_angle_beta 90.00
_cell_angle_gamma 90.00
_symmetry_space_group_name_H-M 'I 4/m'
_symmetry_Int_Tables_number 87
_symmetry_space_group_name_Hall '-I 4'
loop_
_atom_site_label
_atom_site_type_symbol
_atom_site_fract_x
_atom_site_fract_y
_atom_site_fract_z
Tl1 Tl 0.0761 0.2721 0.0000
Mo1 Mo 0.0000 0.0000 0.5000
# Energy of formation ... 0.551 eV/atom
# Density of states at the Fermi level ... 6.05 states/eV/cell
# Energy above the lowest structure with this stoichiometry ... 0.0420 eV/atom
# Total DFT energy (no corrections) ... -3.5079 eV per atom